This record from Alexandria describes an optimized crystal structure of Ba3Ho2PaAs6. The functional is GGA-PBE.

Calculated values
ΔE_f: -1.19 eV/atom
Symmetry: C2/m (12)
DOS at the Fermi energy: 0.865 states/eV/atom

a b c (Å): 7.5121 7.5121 7.8620
angles (deg): 99.17 99.17 120.03
With the nearest neighbours (Å) after each atom.
Atoms (fractional coordinates):
Ba  0.0000  0.0000  0.0000  6 As 3.32-3.37
Ba  0.3307  0.6693  0.0000  6 As 3.32-3.36
Ba  0.6693  0.3307  0.0000  6 As 3.32-3.36
Ho  0.1663  0.8337  0.5000  6 As 2.95-2.96
Ho  0.8337  0.1663  0.5000  6 As 2.95-2.96
Pa  0.5000  0.5000  0.5000  6 As 2.88-2.89
As  0.1061  0.4321  0.2958  1 Pa 2.88, 2 Ho 2.95-2.96
As  0.2432  0.2432  0.7059  1 Pa 2.89, 2 Ho 2.96
As  0.4321  0.1061  0.2958  1 Pa 2.88, 2 Ho 2.95-2.96
As  0.5679  0.8939  0.7042  1 Pa 2.88, 2 Ho 2.95-2.96
As  0.7568  0.7568  0.2941  1 Pa 2.89, 2 Ho 2.96
As  0.8939  0.5679  0.7042  1 Pa 2.88, 2 Ho 2.95-2.96

=====

This record from Alexandria describes an optimized crystal structure of Mg2Si6Ni9. The functional is GGA-PBE.

Calculated values
Symmetry: P6/mmm (191)
DOS at the Fermi energy: 0.565 states/eV/atom
ΔE_f (raw): -0.400 eV per atom

a b c (Å): 4.9676 4.9676 11.0254
angles (deg): 90.00 90.00 120.00
With the nearest neighbours (Å) after each atom.
Atoms (fractional coordinates):
Mg  0.0000  0.0000  0.2309  6 Ni 2.72, 6 Si 2.96
Mg  0.0000  0.0000  0.7691  6 Ni 2.72, 6 Si 2.96
Si  0.3333  0.6667  0.1656  6 Ni 2.32-2.33
Si  0.3333  0.6667  0.5000  6 Ni 2.34
Si  0.3333  0.6667  0.8344  6 Ni 2.32-2.33
Si  0.6667  0.3333  0.1656  6 Ni 2.32-2.33
Si  0.6667  0.3333  0.5000  6 Ni 2.34
Si  0.6667  0.3333  0.8344  6 Ni 2.32-2.33
Ni  0.0000  0.5000  0.0000  4 Si 2.32, 4 Ni 2.48
Ni  0.0000  0.5000  0.3325  4 Si 2.33-2.34, 4 Ni 2.48
Ni  0.0000  0.5000  0.6675  4 Si 2.33-2.34, 4 Ni 2.48
Ni  0.5000  0.0000  0.0000  4 Si 2.32, 4 Ni 2.48
Ni  0.5000  0.0000  0.3325  4 Si 2.33-2.34, 4 Ni 2.48
Ni  0.5000  0.0000  0.6675  4 Si 2.33-2.34, 4 Ni 2.48
Ni  0.5000  0.5000  0.0000  4 Si 2.32, 4 Ni 2.48
Ni  0.5000  0.5000  0.3325  4 Si 2.33-2.34, 4 Ni 2.48
Ni  0.5000  0.5000  0.6675  4 Si 2.33-2.34, 4 Ni 2.48

=====

This record from Alexandria describes an optimized crystal structure of La5Tb3Pr. The functional is GGA-PBE.

Calculated values
ΔE_f: 0.26 eV/atom
Symmetry: I4/mcm (140)
DOS at the Fermi energy: 1.879 states/eV/atom
Distance to the lowest polymorph of the same formula: 19.4 meV/atom

a b c (Å): 10.3205 10.3205 10.3205
angles (deg): 129.30 129.30 74.53
With the nearest neighbours (Å) after each atom.
Atoms (fractional coordinates):
La  0.0000  0.0000  0.0000  4 Tb 3.52, 8 La 3.93
La  0.0569  0.5569  0.8921  1 Pr 3.05, 1 Tb 3.24
La  0.1648  0.0569  0.5000  1 Pr 3.05, 1 Tb 3.24
La  0.3352  0.8352  0.8921  1 Pr 3.05, 1 Tb 3.24
La  0.4431  0.3352  0.5000  1 Pr 3.05, 1 Tb 3.24
La  0.5000  0.5000  0.0000  4 Tb 3.52, 8 La 3.93
La  0.5569  0.6648  0.5000  1 Pr 3.05, 1 Tb 3.24
La  0.6648  0.1648  0.1079  1 Pr 3.05, 1 Tb 3.24
La  0.8352  0.9431  0.5000  1 Pr 3.05, 1 Tb 3.24
La  0.9431  0.4431  0.1079  1 Pr 3.05, 1 Tb 3.24
Tb  0.1207  0.3793  0.5000  1 Tb 3.02, 2 La 3.24
Tb  0.2500  0.2500  0.0000  10 La 3.68-4.11
Tb  0.3793  0.8793  0.2587  1 Tb 3.02, 2 La 3.24
Tb  0.6207  0.1207  0.7413  1 Tb 3.02, 2 La 3.24
Tb  0.7500  0.7500  0.0000  10 La 3.68-4.11
Tb  0.8793  0.6207  0.5000  1 Tb 3.02, 2 La 3.24
Pr  0.2500  0.7500  0.5000  4 La 3.05
Pr  0.7500  0.2500  0.5000  4 La 3.05

=====

This record from Alexandria describes an optimized crystal structure of LaAlBr2. The functional is GGA-PBE.

Calculated values
Symmetry: F-43m (216)
DOS at the Fermi energy: 1.098 states/eV/atom
ΔE_f (raw): -0.477 eV per atom
Distance to the lowest polymorph of the same formula: 433.3 meV/atom

a b c (Å): 7.6925 7.6925 7.6925
angles (deg): 90.00 90.00 90.00
With the nearest neighbours (Å) after each atom.
Atoms (fractional coordinates):
La  0.0000  0.0000  0.0000  4 Br 3.33, 4 Al 3.33
La  0.0000  0.5000  0.5000  4 Br 3.33, 4 Al 3.33
La  0.5000  0.0000  0.5000  4 Br 3.33, 4 Al 3.33
La  0.5000  0.5000  0.0000  4 Br 3.33, 4 Al 3.33
Al  0.2500  0.2500  0.2500  4 La 3.33, 4 Br 3.33
Al  0.2500  0.7500  0.7500  4 La 3.33, 4 Br 3.33
Al  0.7500  0.2500  0.7500  4 La 3.33, 4 Br 3.33
Al  0.7500  0.7500  0.2500  4 La 3.33, 4 Br 3.33
Br  0.0000  0.0000  0.5000  4 Br 3.33, 4 Al 3.33
Br  0.0000  0.5000  0.0000  4 Br 3.33, 4 Al 3.33
Br  0.2500  0.2500  0.7500  4 La 3.33, 4 Br 3.33
Br  0.2500  0.7500  0.2500  4 La 3.33, 4 Br 3.33
Br  0.5000  0.0000  0.0000  4 Br 3.33, 4 Al 3.33
Br  0.5000  0.5000  0.5000  4 Br 3.33, 4 Al 3.33
Br  0.7500  0.2500  0.2500  4 La 3.33, 4 Br 3.33
Br  0.7500  0.7500  0.7500  4 Br 3.33, 4 La 3.33